1.
VASP calculation (GGA-PBE) on crystalline Ga2AgPt at its relaxed geometry.

It has space group Pmm2 (No. 25), with a = 2.9301 Å, b = 4.8926 Å, c = 4.5710 Å, α = 90.00°, β = 90.00° and γ = 90.00°. Symmetry generates all atoms from Ga at (0.0000, 0.0000, 0.0000), Ga at (0.5000, 0.5000, 0.2255), Ag at (0.5000, 0.0000, 0.5002) and Pt at (0.0000, 0.5000, 0.7366).

The calculation puts the calculated formation energy at -0.269 eV/atom. The calculation puts the energy above the most stable polymorph in this dataset at 51 meV/atom. As for the crystal system: orthorhombic. The density is 11.2 g/cm³. The magnetic moment comes out at 0.000 μB/f.u. For the electronic total energy, the calculation gives -4.0059 eV per atom.


2.
VASP calculation (GGA-PBE) on crystalline LiLaTe2 at its relaxed geometry.

It has space group P2/m (No. 10), with a = 4.0711 Å, b = 3.9718 Å, c = 7.8736 Å, α = 90.00°, β = 98.07° and γ = 90.00°. Symmetry generates all atoms from Li at (0.0000, 0.0000, 0.0000), La at (0.5000, 0.0000, 0.5000) and Te at (0.0674, 0.5000, 0.7372).

As for the crystal system: monoclinic. The density is 5.3 g/cm³. The magnetic moment comes out at 0.000 μB/f.u. For the electronic total energy, the calculation gives -4.4926 eV per atom.


3.
VASP calculation (GGA-PBE) on crystalline LiGe4Pd4 at its relaxed geometry.

It has space group I-42m (No. 121), with a = 6.3747 Å, b = 6.3747 Å, c = 8.0997 Å, α = 90.00°, β = 90.00° and γ = 90.00°. Symmetry generates all atoms from Li at (0.0000, 0.0000, 0.0000), Ge at (0.2332, 0.2332, 0.1581), Pd at (0.0000, 0.0000, 0.3256) and Pd at (0.0000, 0.5000, 0.0000).

The calculation puts the calculated formation energy at -0.124 eV/atom. As for the crystal system: tetragonal. The density is 7.3 g/cm³. The magnetic moment comes out at 0.000 μB/f.u. For the electronic total energy, the calculation gives -4.6971 eV per atom.


4.
VASP calculation (GGA-PBE) on crystalline TmScAlIn at its relaxed geometry.

It has space group F-43m (No. 216), with a = 7.1260 Å, b = 7.1260 Å, c = 7.1260 Å, α = 90.00°, β = 90.00° and γ = 90.00°. Symmetry generates all atoms from Tm at (0.0000, 0.0000, 0.0000), Sc at (0.0000, 0.0000, 0.5000), Al at (0.2500, 0.2500, 0.7500) and In at (0.2500, 0.2500, 0.2500).

The calculation puts the calculated formation energy at -0.383 eV/atom. The calculation puts the energy above the most stable polymorph in this dataset at 27 meV/atom. As for the crystal system: cubic. The density is 6.5 g/cm³. The magnetic moment comes out at 0.000 μB/f.u. For the electronic total energy, the calculation gives -4.7043 eV per atom.